Record 1
Compound: CaGdSb2
Source: the Alexandria database
Functional: GGA-PBE
Structure: relaxed

Cell lengths 4.0690, 4.0690, 6.8147 Å; angles 90.00, 90.00, 90.00 degrees
Space group P4/mmm (No. 123)
Asymmetric unit:
Ca 0.0000 0.0000 0.0000 (multiplicity 1)
Gd 0.0000 0.0000 0.5000 (multiplicity 1)
Sb 0.5000 0.5000 0.2613 (multiplicity 2)

energy above the most stable polymorph in this dataset	73.4	meV/atom

Record 2
Compound: Th6Si2SnSe3
Source: the Alexandria database
Functional: GGA-PBE
Structure: relaxed

Cell lengths 18.5979, 4.3169, 8.5559 Å; angles 90.00, 101.82, 90.00 degrees
Space group C2/m (No. 12)
Asymmetric unit:
Th 0.0063 0.0000 0.2642 (multiplicity 4)
Th 0.1703 0.5000 0.5755 (multiplicity 4)
Th 0.1718 0.5000 0.1011 (multiplicity 4)
Si 0.1679 0.0000 0.3355 (multiplicity 4)
Sn 0.0000 0.5000 0.0000 (multiplicity 2)
Se 0.0000 0.5000 0.5000 (multiplicity 2)
Se 0.1622 0.0000 0.8340 (multiplicity 4)

raw total energy	-166.36	eV/cell

Record 3
Compound: Nd7Sm4Ho
Source: the Alexandria database
Functional: GGA-PBE
Structure: relaxed

Cell lengths 6.3671, 7.3541, 9.0974 Å; angles 89.98, 76.48, 89.98 degrees
Space group P-1 (No. 2)
Asymmetric unit:
Nd 0.0000 0.0000 0.0000 (multiplicity 1)
Nd 0.2217 0.5000 0.3330 (multiplicity 2)
Nd 0.2777 0.2498 0.6686 (multiplicity 2)
Nd 0.5003 0.2504 0.0004 (multiplicity 2)
Sm 0.2229 0.0002 0.3334 (multiplicity 2)
Sm 0.2773 0.7499 0.6693 (multiplicity 2)
Ho 0.0000 0.5000 0.0000 (multiplicity 1)

energy of formation from the pure elements	0.010	eV per atom
energy above the most stable polymorph in this dataset	0.0	meV/atom

Record 4
Compound: PrAl2Ag9
Source: the Alexandria database
Functional: GGA-PBE
Structure: relaxed

Cell lengths 11.3776, 11.3776, 7.1694 Å; angles 90.00, 90.00, 90.00 degrees
Space group I4_1/amd (No. 141, origin choice 2)
Asymmetric unit:
Pr 0.0000 0.2500 0.3750 (multiplicity 4)
Al 0.0000 0.0000 0.0000 (multiplicity 8)
Ag 0.0000 0.2500 0.8750 (multiplicity 4)
Ag 0.1216 0.0503 0.6823 (multiplicity 32)

energy of formation from the pure elements	-0.118	eV per atom

Record 5
Compound: Ac8Te4Pt3Au
Source: the Alexandria database
Functional: GGA-PBE
Structure: relaxed

Cell lengths 8.9523, 8.9523, 24.3055 Å; angles 90.00, 90.00, 120.00 degrees
Space group R-3m (No. 166, hexagonal axes)
Asymmetric unit:
Ac 0.0000 0.0000 0.2376 (multiplicity 6)
Ac 0.0075 0.5038 0.7615 (multiplicity 18)
Te 0.0000 0.0000 0.0000 (multiplicity 3)
Te 0.0000 0.5000 0.0000 (multiplicity 9)
Pt 0.0000 0.5000 0.5000 (multiplicity 9)
Au 0.0000 0.0000 0.5000 (multiplicity 3)

raw total energy	-262.97	eV/cell

Record 6
Compound: TlRh2
Source: the Alexandria database
Functional: GGA-PBE
Structure: relaxed

Cell lengths 5.7421, 4.1807, 8.4071 Å; angles 90.00, 90.00, 90.00 degrees
Space group Pnma (No. 62)
Asymmetric unit:
Tl 0.1521 0.2500 0.0960 (multiplicity 4)
Rh 0.0920 0.2500 0.7524 (multiplicity 4)
Rh 0.1355 0.2500 0.4255 (multiplicity 4)

energy of formation from the pure elements	0.176	eV per atom
energy above the most stable polymorph in this dataset	0.0	meV/atom

Record 7
Compound: Li3Hg3Pd
Source: the Alexandria database
Functional: GGA-PBE
Structure: relaxed

Cell lengths 7.3633, 7.3633, 17.7152 Å; angles 90.00, 90.00, 120.00 degrees
Space group R-3 (No. 148, hexagonal axes)
Asymmetric unit:
Li 0.0443 0.6172 0.3891 (multiplicity 18)
Hg 0.0211 0.7457 0.5656 (multiplicity 18)
Pd 0.0000 0.0000 0.1653 (multiplicity 6)

energy of formation from the pure elements	-0.253	eV per atom
energy above the most stable polymorph in this dataset	9.7	meV/atom

Record 8
Compound: Pu4Pd4Au
Source: the Alexandria database
Functional: GGA-PBE
Structure: relaxed

Cell lengths 8.3599, 8.3599, 5.5892 Å; angles 90.00, 90.00, 90.00 degrees
Space group P4_2/n (No. 86, origin choice 2)
Asymmetric unit:
Pu 0.0749 0.8232 0.1097 (multiplicity 8)
Pd 0.0544 0.1418 0.3710 (multiplicity 8)
Au 0.2500 0.2500 0.7500 (multiplicity 2)

energy of formation from the pure elements	-0.307	eV per atom

Record 9
Compound: DyNbAs2Rh5
Source: the Alexandria database
Functional: GGA-PBE
Structure: relaxed

Cell lengths 3.9989, 3.9989, 11.0151 Å; angles 90.00, 90.00, 90.00 degrees
Space group P4/mmm (No. 123)
Asymmetric unit:
Dy 0.0000 0.0000 0.0000 (multiplicity 1)
Nb 0.5000 0.5000 0.5000 (multiplicity 1)
As 0.5000 0.5000 0.2150 (multiplicity 2)
Rh 0.0000 0.5000 0.3479 (multiplicity 4)
Rh 0.5000 0.5000 0.0000 (multiplicity 1)

energy of formation from the pure elements	-0.260	eV per atom

Record 10
Compound: In2RePPt
Source: the Alexandria database
Functional: GGA-PBE
Structure: relaxed

Cell lengths 5.2230, 5.2230, 4.4065 Å; angles 90.00, 90.00, 90.00 degrees
Space group P4/mmm (No. 123)
Asymmetric unit:
In 0.0000 0.5000 0.0000 (multiplicity 2)
Re 0.0000 0.0000 0.0000 (multiplicity 1)
P 0.0000 0.0000 0.5000 (multiplicity 1)
Pt 0.5000 0.5000 0.5000 (multiplicity 1)

energy of formation from the pure elements	0.636	eV per atom

Record 11
Compound: Ho2InF7
Source: the Alexandria database
Functional: GGA-PBE
Structure: relaxed

Cell lengths 7.0468, 11.3817, 4.3583 Å; angles 90.00, 90.00, 90.00 degrees
Space group Cmmm (No. 65)
Asymmetric unit:
Ho 0.0000 0.1924 0.0000 (multiplicity 4)
In 0.0000 0.5000 0.5000 (multiplicity 2)
F 0.0000 0.0000 0.0000 (multiplicity 2)
F 0.0000 0.2026 0.5000 (multiplicity 4)
F 0.1887 0.3543 0.0000 (multiplicity 8)

raw total energy	-123.16	eV/cell

Record 12
Compound: LiCa2CdRh
Source: the Alexandria database
Functional: GGA-PBE
Structure: relaxed

Cell lengths 5.3695, 5.3695, 5.3243 Å; angles 90.00, 90.00, 90.00 degrees
Space group P4/mmm (No. 123)
Asymmetric unit:
Li 0.0000 0.0000 0.0000 (multiplicity 1)
Ca 0.0000 0.5000 0.5000 (multiplicity 2)
Cd 0.5000 0.5000 0.0000 (multiplicity 1)
Rh 0.5000 0.5000 0.5000 (multiplicity 1)

energy of formation from the pure elements	-0.137	eV per atom
energy above the most stable polymorph in this dataset	0.0	meV/atom

Record 13
Compound: AlInSe2Br
Source: the Alexandria database
Functional: GGA-PBE
Structure: relaxed

Cell lengths 5.2777, 5.2777, 5.5691 Å; angles 90.00, 90.00, 90.00 degrees
Space group P4/mmm (No. 123)
Asymmetric unit:
Al 0.0000 0.0000 0.0000 (multiplicity 1)
In 0.5000 0.5000 0.5000 (multiplicity 1)
Se 0.0000 0.5000 0.5000 (multiplicity 2)
Br 0.5000 0.5000 0.0000 (multiplicity 1)

energy above the most stable polymorph in this dataset	472.5	meV/atom

Record 14
Compound: La2Pr5Y3
Source: the Alexandria database
Functional: GGA-PBE
Structure: relaxed

Cell lengths 11.2255, 15.0735, 10.1216 Å; angles 90.00, 123.60, 90.00 degrees
Space group C2/c (No. 15)
Asymmetric unit:
La 0.1538 0.1250 0.0591 (multiplicity 8)
Pr 0.0000 0.2247 0.2500 (multiplicity 4)
Pr 0.0000 0.2632 0.7500 (multiplicity 4)
Pr 0.0000 0.4702 0.7500 (multiplicity 4)
Pr 0.2410 0.3785 0.2436 (multiplicity 8)
Y 0.0000 0.0172 0.2500 (multiplicity 4)
Y 0.1538 0.3756 0.5504 (multiplicity 8)

energy of formation from the pure elements	0.171	eV per atom
energy above the most stable polymorph in this dataset	0.0	meV/atom

Record 15
Compound: Y2SiHg
Source: the Alexandria database
Functional: GGA-PBE
Structure: relaxed

Cell lengths 4.7255, 5.3725, 8.0353 Å; angles 90.00, 90.00, 90.00 degrees
Space group Cmm2 (No. 35)
Asymmetric unit:
Y 0.0000 0.0000 0.0000 (multiplicity 2)
Y 0.0000 0.5000 0.3401 (multiplicity 2)
Si 0.0000 0.5000 0.7769 (multiplicity 2)
Hg 0.0000 0.0000 0.5831 (multiplicity 2)

raw total energy	-38.23	eV/cell

Record 16
Compound: AcTb3Nd6
Source: the Alexandria database
Functional: GGA-PBE
Structure: relaxed

Cell lengths 11.5329, 13.4049, 9.4163 Å; angles 90.00, 90.00, 90.00 degrees
Space group Cmc2_1 (No. 36)
Asymmetric unit:
Ac 0.0000 0.2438 0.0000 (multiplicity 4)
Tb 0.0000 0.0214 0.6493 (multiplicity 4)
Tb 0.2170 0.4208 0.5683 (multiplicity 8)
Nd 0.0000 0.2684 0.5521 (multiplicity 4)
Nd 0.0000 0.4866 0.2987 (multiplicity 4)
Nd 0.1917 0.1116 0.3822 (multiplicity 8)
Nd 0.2413 0.1616 0.7356 (multiplicity 8)

energy of formation from the pure elements	0.183	eV per atom
energy above the most stable polymorph in this dataset	112.9	meV/atom

Record 17
Compound: Cr2IrRh
Source: the Alexandria database
Functional: GGA-PBE
Structure: relaxed

Cell lengths 6.0253, 6.0253, 6.0253 Å; angles 90.00, 90.00, 90.00 degrees
Space group F-43m (No. 216)
Asymmetric unit:
Cr 0.0000 0.0000 0.0000 (multiplicity 4)
Cr 0.2500 0.2500 0.2500 (multiplicity 4)
Ir 0.2500 0.2500 0.7500 (multiplicity 4)
Rh 0.0000 0.0000 0.5000 (multiplicity 4)

energy of formation from the pure elements	0.228	eV per atom

Record 18
Compound: CaInTc
Source: the Alexandria database
Functional: GGA-PBE
Structure: relaxed

Cell lengths 4.9504, 4.9504, 2.9800 Å; angles 90.00, 90.00, 120.00 degrees
Space group P3m1 (No. 156)
Asymmetric unit:
Ca 0.0000 0.0000 0.0000 (multiplicity 1)
In 0.6667 0.3333 0.4556 (multiplicity 1)
Tc 0.3333 0.6667 0.6045 (multiplicity 1)

energy of formation from the pure elements	0.337	eV per atom
energy above the most stable polymorph in this dataset	73.4	meV/atom

Record 19
Compound: Cr3Co3N
Source: the Alexandria database
Functional: GGA-PBE
Structure: relaxed

Cell lengths 10.5236, 10.5236, 10.5236 Å; angles 90.00, 90.00, 90.00 degrees
Space group Fd-3m (No. 227, origin choice 2)
Asymmetric unit:
Cr 0.0657 0.3750 0.3750 (multiplicity 48)
Co 0.0000 0.0000 0.5000 (multiplicity 16)
Co 0.0404 0.0404 0.7096 (multiplicity 32)
N 0.0000 0.0000 0.0000 (multiplicity 16)

raw total energy	-944.38	eV/cell

Record 20
Compound: AsBr2F
Source: the Alexandria database
Functional: GGA-PBE
Structure: relaxed

Cell lengths 6.6694, 6.6694, 6.6694 Å; angles 90.00, 90.00, 90.00 degrees
Space group Fm-3m (No. 225)
Asymmetric unit:
As 0.0000 0.0000 0.0000 (multiplicity 4)
Br 0.2500 0.2500 0.2500 (multiplicity 8)
F 0.0000 0.0000 0.5000 (multiplicity 4)

energy above the most stable polymorph in this dataset	791.7	meV/atom

Record 21
Compound: Na2BeHPt
Source: the Alexandria database
Functional: GGA-PBE
Structure: relaxed

Cell lengths 4.4496, 4.4496, 3.7691 Å; angles 90.00, 90.00, 90.00 degrees
Space group P4/mmm (No. 123)
Asymmetric unit:
Na 0.0000 0.5000 0.0000 (multiplicity 2)
Be 0.0000 0.0000 0.5000 (multiplicity 1)
H 0.5000 0.5000 0.0000 (multiplicity 1)
Pt 0.5000 0.5000 0.5000 (multiplicity 1)

raw total energy	-14.54	eV/cell